No. 1
DFT (PBE-GGA) results for a relaxed structure of Ho4Al16Os3.

Cell and atoms, written as CIF:
```
data_Ho4Al16Os3
_chemical_formula_sum 'Ho4 Al16 Os3'
_cell_length_a 6.131
_cell_length_b 6.131
_cell_length_c 11.292
_cell_angle_alpha 90.00
_cell_angle_beta 90.00
_cell_angle_gamma 90.00
_space_group_name_H-M_alt 'P 4/m m m'
_space_group_IT_number 123
_space_group_name_Hall '-P 4 2'
loop_
_atom_site_label
_atom_site_type_symbol
_atom_site_fract_x
_atom_site_fract_y
_atom_site_fract_z
Ho1 Ho 0.000 0.500 0.190
Al1 Al 0.000 0.000 0.194
Al2 Al 0.217 0.217 0.000
Al3 Al 0.251 0.251 0.382
Al4 Al 0.500 0.500 0.218
Os1 Os 0.000 0.500 0.500
Os2 Os 0.500 0.500 0.000
```

Properties
**Total moment**: 0.00 μB/f.u.
**Total energy**: -122.89 eV/cell

---

No. 2
DFT (PBE-GGA) results for a relaxed structure of Gd2YTc.

Cell and atoms, written as CIF:
```
data_Gd2YTc
_chemical_formula_sum 'Gd6 Y3 Tc3'
_cell_length_a 3.4526
_cell_length_b 3.4526
_cell_length_c 32.4718
_cell_angle_alpha 90.00
_cell_angle_beta 90.00
_cell_angle_gamma 120.00
_space_group_name_H-M_alt 'R -3 m'
_space_group_IT_number 166
_space_group_name_Hall '-R 3 2"'
loop_
_atom_site_label
_atom_site_type_symbol
_atom_site_fract_x
_atom_site_fract_y
_atom_site_fract_z
Gd1 Gd 0.0000 0.0000 0.1039
Y1 Y 0.0000 0.0000 0.0000
Tc1 Tc 0.0000 0.0000 0.5000
```

Properties
**Total moment**: 15.21 μB/f.u.
**Excess energy over the best structure of this formula in the dataset**: 0.224 eV/atom
**Total energy**: -131.65 eV/cell